Entry 1:
A plane-wave DFT calculation with GGA-PBE was carried out for a relaxed structure of CaCr2Os.

Properties
* formation enthalpy at 0 K: 548 meV per atom
* magnetic moment: 0.00 μB per formula unit

Cell lengths 2.937, 3.752, 6.490 Å; angles 90.00, 90.00, 90.00 degrees
Positions (direct):
Ca: 0.000 0.000 0.000
Cr: 0.500 0.500 0.346
Cr: 0.500 0.500 0.654
Os: 0.000 0.000 0.500

Entry 2:
A plane-wave DFT calculation with GGA-PBE was carried out for a relaxed structure of CaCrOs.

Properties
* formation enthalpy at 0 K: 1844 meV per atom
* magnetic moment: 3.53 μB per formula unit

Cell lengths 4.568, 4.568, 4.568 Å; angles 60.00, 60.00, 60.00 degrees
Positions (direct):
Ca: 0.000 0.000 0.000
Cr: 0.250 0.250 0.250
Os: 0.750 0.750 0.750

Entry 3:
A plane-wave DFT calculation with GGA-PBE was carried out for a relaxed structure of Ca2CrOs.

Properties
* formation enthalpy at 0 K: 785 meV per atom
* magnetic moment: 5.13 μB per formula unit

Cell lengths 5.262, 5.262, 3.260 Å; angles 90.00, 90.00, 103.00 degrees
Positions (direct):
Ca: 0.000 0.500 0.000
Ca: 0.500 0.000 0.000
Cr: 0.000 0.000 0.500
Os: 0.500 0.500 0.500

Entry 4:
A plane-wave DFT calculation with GGA-PBE was carried out for a relaxed structure of CaCr3Os.

Properties
* formation enthalpy at 0 K: 898 meV per atom
* magnetic moment: 9.52 μB per formula unit

Cell lengths 4.782, 4.782, 4.782 Å; angles 90.00, 90.00, 90.00 degrees
Positions (direct):
Ca: 0.000 0.000 0.000
Cr: 0.000 0.500 0.500
Cr: 0.500 0.000 0.500
Cr: 0.500 0.500 0.000
Os: 0.500 0.500 0.500

Entry 5:
A plane-wave DFT calculation with GGA-PBE was carried out for a relaxed structure of CaCrOs2.

Properties
* formation enthalpy at 0 K: 700 meV per atom
* magnetic moment: 2.44 μB per formula unit

Cell lengths 2.982, 4.627, 4.658 Å; angles 90.00, 90.00, 90.00 degrees
Positions (direct):
Ca: 0.000 0.000 0.000
Cr: 0.500 0.000 0.500
Os: 0.000 0.500 0.500
Os: 0.500 0.500 0.000

Entry 6:
A plane-wave DFT calculation with GGA-PBE was carried out for a relaxed structure of Ca3CrOs.

Properties
* formation enthalpy at 0 K: 753 meV per atom
* magnetic moment: 5.92 μB per formula unit

Cell lengths 5.477, 5.477, 5.477 Å; angles 90.00, 90.00, 90.00 degrees
Positions (direct):
Ca: 0.000 0.000 0.500
Ca: 0.000 0.500 0.000
Ca: 0.500 0.000 0.000
Cr: 0.500 0.500 0.500
Os: 0.000 0.000 0.000

Entry 7:
A plane-wave DFT calculation with GGA-PBE was carried out for a relaxed structure of CaCrOs2.

Properties
* formation enthalpy at 0 K: 515 meV per atom
* magnetic moment: 1.64 μB per formula unit

Cell lengths 5.498, 5.498, 5.287 Å; angles 116.91, 116.91, 29.90 degrees
Positions (direct):
Ca: 0.000 0.000 0.000
Cr: 0.191 0.191 0.736
Os: 0.473 0.473 0.458
Os: 0.760 0.760 0.433

Entry 8:
A plane-wave DFT calculation with GGA-PBE was carried out for a relaxed structure of CaCr2Os.

Properties
* formation enthalpy at 0 K: 716 meV per atom
* magnetic moment: 1.42 μB per formula unit

Cell lengths 3.156, 4.546, 4.570 Å; angles 90.00, 90.00, 90.00 degrees
Positions (direct):
Ca: 0.000 0.000 0.000
Cr: 0.000 0.500 0.500
Cr: 0.500 0.500 0.000
Os: 0.500 0.000 0.500